Entry 1:
DFT (PBE) results for BaLi3Ta after structural relaxation.

Unit cell a=5.3935 b=5.3935 c=5.3935 alpha=90.00 beta=90.00 gamma=90.00
Closest atoms and distances in Å follow each position.
Element x y z (fractional)
Ba 0.0000 0.0000 0.0000  12 Li 3.81
Li 0.0000 0.5000 0.5000  2 Ta 2.70
Li 0.5000 0.0000 0.5000  2 Ta 2.70
Li 0.5000 0.5000 0.0000  2 Ta 2.70
Ta 0.5000 0.5000 0.5000  6 Li 2.70

Properties
ΔE to the lowest computed polymorph   0.000 eV per atom
Crystal system   cubic
Energy   -2.93 eV per atom
Energy of formation from the pure elements   0.971 eV per atom

Entry 2:
DFT (PBE) results for Ba2LiTa after structural relaxation.

Unit cell a=7.1377 b=7.1377 c=7.1377 alpha=151.32 beta=130.68 gamma=58.05
Closest atoms and distances in Å follow each position.
Element x y z (fractional)
Ba 0.0000 0.0000 0.0000  4 Ta 3.51, 2 Ba 3.54, 2 Li 3.84
Ba 0.7064 0.2064 0.5000  4 Ba 3.54-3.94, 4 Li 3.56, 2 Ta 3.60
Li 0.2732 0.7732 0.5000  2 Ta 2.87
Ta 0.4548 0.4548 0.0000  2 Li 2.87

Properties
ΔE to the lowest computed polymorph   0.080 eV per atom
Crystal system   orthorhombic
Energy   -3.54 eV per atom
Energy of formation from the pure elements   0.862 eV per atom

Entry 3:
DFT (PBE) results for BaLi2Ta after structural relaxation.

Unit cell a=3.2230 b=3.2230 c=9.0633 alpha=90.00 beta=90.00 gamma=90.00
Closest atoms and distances in Å follow each position.
Element x y z (fractional)
Ba 0.0000 0.0000 0.0000  4 Ba 3.22, 4 Ta 3.52
Li 0.0000 0.0000 0.5102  4 Li 2.77, 4 Ta 2.88
Li 0.5000 0.5000 0.3358  4 Li 2.77
Ta 0.5000 0.5000 0.7043  4 Li 2.88, 4 Ta 3.22

Properties
ΔE to the lowest computed polymorph   0.000 eV per atom
Crystal system   tetragonal
Energy   -3.74 eV per atom
Energy of formation from the pure elements   0.664 eV per atom

Entry 4:
DFT (PBE) results for BaLiTa2 after structural relaxation.

Unit cell a=3.5606 b=3.5606 c=8.1866 alpha=90.00 beta=90.00 gamma=90.00
Closest atoms and distances in Å follow each position.
Element x y z (fractional)
Ba 0.0000 0.0000 0.0000  4 Ba 3.56, 5 Ta 3.58-3.65, 4 Li 3.80
Li 0.5000 0.5000 0.3482  5 Ta 2.79-3.03
Ta 0.0000 0.0000 0.5543  4 Ta 2.75, 4 Li 3.03
Ta 0.5000 0.5000 0.6892  4 Ta 2.75, 1 Li 2.79

Properties
ΔE to the lowest computed polymorph   0.000 eV per atom
Crystal system   tetragonal
Energy   -6.33 eV per atom
Energy of formation from the pure elements   0.560 eV per atom

Entry 5:
DFT (PBE) results for BaLi2Ta after structural relaxation.

Unit cell a=5.2066 b=5.2066 c=5.2066 alpha=60.00 beta=60.00 gamma=60.00
Closest atoms and distances in Å follow each position.
Element x y z (fractional)
Ba 0.0000 0.0000 0.0000  4 Ta 3.19, 4 Li 3.19
Li 0.2500 0.2500 0.2500  4 Li 3.19, 4 Ba 3.19
Li 0.5000 0.5000 0.5000  4 Ta 3.19, 4 Li 3.19
Ta 0.7500 0.7500 0.7500  4 Li 3.19, 4 Ba 3.19

Properties
ΔE to the lowest computed polymorph   0.370 eV per atom
Crystal system   cubic
Energy   -3.37 eV per atom
Energy of formation from the pure elements   1.035 eV per atom

Entry 6:
DFT (PBE) results for BaLiTa2 after structural relaxation.

Unit cell a=3.2581 b=4.7669 c=5.8704 alpha=90.00 beta=90.00 gamma=90.00
Closest atoms and distances in Å follow each position.
Element x y z (fractional)
Ba 0.0000 0.0000 0.0000  4 Li 2.89
Li 0.5000 0.5000 0.0000  4 Ba 2.89
Ta 0.0000 0.5000 0.5000  4 Ta 2.89
Ta 0.5000 0.0000 0.5000  4 Ta 2.89

Properties
ΔE to the lowest computed polymorph   0.370 eV per atom
Crystal system   orthorhombic
Energy   -5.95 eV per atom
Energy of formation from the pure elements   0.931 eV per atom

Entry 7:
DFT (PBE) results for BaLi2Ta after structural relaxation.

Unit cell a=11.4487 b=11.4487 c=11.4487 alpha=15.61 beta=15.61 gamma=15.61
Closest atoms and distances in Å follow each position.
Element x y z (fractional)
Ba 0.0000 0.0000 0.0000  6 Ba 3.11
Li 0.2382 0.2382 0.2382  3 Ta 3.02, 6 Li 3.11
Li 0.7618 0.7618 0.7618  3 Ta 3.02, 6 Li 3.11
Ta 0.5000 0.5000 0.5000  6 Li 3.02, 6 Ta 3.11

Properties
ΔE to the lowest computed polymorph   0.066 eV per atom
Crystal system   trigonal
Energy   -3.67 eV per atom
Energy of formation from the pure elements   0.731 eV per atom

Entry 8:
DFT (PBE) results for BaLi2Ta after structural relaxation.

Unit cell a=6.5131 b=6.5131 c=6.5131 alpha=151.18 beta=129.71 gamma=59.00
Closest atoms and distances in Å follow each position.
Element x y z (fractional)
Ba 0.0000 0.0000 0.0000  4 Ta 3.21, 2 Ba 3.24, 4 Li 3.57
Li 0.2801 0.7801 0.5000  2 Ta 2.97, 6 Li 3.24-3.28
Li 0.7199 0.2199 0.5000  2 Ta 2.97, 6 Li 3.24-3.28
Ta 0.5000 0.5000 0.0000  4 Li 2.97, 4 Ba 3.21, 2 Ta 3.24

Properties
ΔE to the lowest computed polymorph   0.167 eV per atom
Crystal system   orthorhombic
Energy   -3.57 eV per atom
Energy of formation from the pure elements   0.832 eV per atom

Entry 9:
DFT (PBE) results for BaLiTa after structural relaxation.

Unit cell a=3.3770 b=5.7131 c=9.5231 alpha=81.32 beta=89.90 gamma=73.06
Closest atoms and distances in Å follow each position.
Element x y z (fractional)
Ba 0.0000 0.0000 0.0000  3 Li 3.27-3.49, 2 Ba 3.38, 3 Ta 3.47-3.64
Ba 0.0568 0.8934 0.4225  4 Li 3.28-3.62, 2 Ba 3.38, 3 Ta 3.44-3.61
Li 0.3141 0.4257 0.2194  2 Li 3.38, 5 Ba 3.44-3.73
Li 0.5254 0.9492 0.7111  4 Ta 2.86-2.87
Ta 0.2355 0.5278 0.7949  2 Ta 2.60-2.61, 2 Li 2.86-2.87
Ta 0.8170 0.3675 0.6218  2 Ta 2.60-2.61, 2 Li 2.86-2.87

Properties
ΔE to the lowest computed polymorph   0.281 eV per atom
Crystal system   triclinic
Energy   -4.52 eV per atom
Energy of formation from the pure elements   0.710 eV per atom

Entry 10:
DFT (PBE) results for BaLiTa2 after structural relaxation.

Unit cell a=2.9300 b=2.9300 c=11.3450 alpha=90.00 beta=90.00 gamma=111.79
Closest atoms and distances in Å follow each position.
Element x y z (fractional)
Ba 0.0000 0.0000 0.0000  4 Ba 2.93
Li 0.0000 0.0000 0.5000  4 Li 2.93, 4 Ta 3.04
Ta 0.5000 0.5000 0.2744  4 Ta 2.93, 2 Li 3.04
Ta 0.5000 0.5000 0.7256  4 Ta 2.93, 2 Li 3.04

Properties
ΔE to the lowest computed polymorph   0.516 eV per atom
Crystal system   orthorhombic
Energy   -5.81 eV per atom
Energy of formation from the pure elements   1.076 eV per atom

Entry 11:
DFT (PBE) results for BaLiTa after structural relaxation.

Unit cell a=4.6519 b=6.2307 c=6.8412 alpha=93.62 beta=109.76 gamma=90.00
Closest atoms and distances in Å follow each position.
Element x y z (fractional)
Ba 0.0000 0.0000 0.0000  1 Li 3.31, 3 Ta 3.49-3.68
Ba 0.4069 0.4891 0.8121  2 Ta 3.35-3.49, 2 Li 3.67
Li 0.2537 0.9680 0.5111  3 Ta 2.83-3.03, 2 Li 3.07
Li 0.6954 0.2572 0.3932  3 Ta 2.89-3.06, 2 Li 3.07
Ta 0.1489 0.5546 0.3002  2 Ta 2.52
Ta 0.6613 0.7108 0.3252  2 Ta 2.52

Properties
ΔE to the lowest computed polymorph   0.247 eV per atom
Crystal system   triclinic
Energy   -4.55 eV per atom
Energy of formation from the pure elements   0.675 eV per atom

Entry 12:
DFT (PBE) results for BaLiTaW2 after structural relaxation.

Unit cell a=5.1048 b=5.1048 c=4.1424 alpha=90.00 beta=90.00 gamma=90.00
Closest atoms and distances in Å follow each position.
Element x y z (fractional)
Ba 0.0000 0.0000 0.0000  2 Li 2.07
Li 0.0000 0.0000 0.5000  2 Ba 2.07
Ta 0.5000 0.5000 0.5000  8 W 3.29, 4 Li 3.61
W 0.0000 0.5000 0.0000  2 Ba 2.55
W 0.5000 0.0000 0.0000  2 Ba 2.55

Properties
Crystal system   tetragonal
Energy   -5.52 eV per atom
Energy of formation from the pure elements   2.802 eV per atom

Repeat the sixth record exactly.
DFT (PBE) results for BaLiTa2 after structural relaxation.

Unit cell a=3.2581 b=4.7669 c=5.8704 alpha=90.00 beta=90.00 gamma=90.00
Closest atoms and distances in Å follow each position.
Element x y z (fractional)
Ba 0.0000 0.0000 0.0000  4 Li 2.89
Li 0.5000 0.5000 0.0000  4 Ba 2.89
Ta 0.0000 0.5000 0.5000  4 Ta 2.89
Ta 0.5000 0.0000 0.5000  4 Ta 2.89

Properties
ΔE to the lowest computed polymorph   0.370 eV per atom
Crystal system   orthorhombic
Energy   -5.95 eV per atom
Energy of formation from the pure elements   0.931 eV per atom